Below is crystalline CaPaNiRh at its relaxed geometry, with properties calculated at the PBE level.

Its total magnetization is 0.00 μB/f.u. Its density of states at the Fermi level is 21.87 states/eV/cell. As for the crystal system: cubic. The formation energy from the elements is -0.275 eV/atom.

The space group is F-43m (No. 216) and the conventional cell measures 6.817, 6.817 and 6.817 Å, with angles of 90.00, 90.00 and 90.00 degrees. The inequivalent atoms are Ca at (0.000, 0.000, 0.000), Pa at (0.000, 0.000, 0.500), Ni at (0.250, 0.250, 0.750) and Rh at (0.250, 0.250, 0.250).

Below is crystalline Li4Pu3AgO12 at its relaxed geometry, with properties calculated at the PBE level.

For the energy relative to the elements, uncorrected, the calculation gives -2.073 eV/atom. Its total magnetization is 5.00 μB/f.u. Its density of states at the Fermi level is 28.18 states/eV/cell. As for the crystal system: trigonal.

The space group is R32 (No. 155, hexagonal axes) and the conventional cell measures 11.3521, 11.3521 and 7.8981 Å, with angles of 90.00, 90.00 and 120.00 degrees. The inequivalent atoms are Li at (0.0000, 0.0000, 0.0000), Li at (0.0000, 0.4380, 0.0000), Pu at (0.0000, 0.5592, 0.5000), Ag at (0.0000, 0.0000, 0.5000), O at (0.0000, 0.6083, 0.0000), O at (0.0000, 0.8343, 0.0000) and O at (0.0667, 0.2370, 0.6891).